# Er6GaC2S3 (PBE, optimized geometry)
data_Er6GaC2S3
_cell_length_a 16.690
_cell_length_b 3.730
_cell_length_c 7.858
_cell_angle_alpha 90.00
_cell_angle_beta 102.51
_cell_angle_gamma 90.00
_symmetry_space_group_name_H-M 'C 1 2/m 1'
_symmetry_Int_Tables_number 12
loop_
_symmetry_equiv_pos_as_xyz
'x,y,z'
'-x,-y,-z'
'-x,y,-z'
'x,-y,z'
'x+1/2,y+1/2,z'
'-x+1/2,-y+1/2,-z'
'-x+1/2,y+1/2,-z'
'x+1/2,-y+1/2,z'
loop_
_atom_site_label
_atom_site_type_symbol
_atom_site_fract_x
_atom_site_fract_y
_atom_site_fract_z
Er1 Er 0.019 0.000 0.273
Er2 Er 0.174 0.500 0.126
Er3 Er 0.176 0.500 0.565
Ga1 Ga 0.000 0.500 0.000
C1 C 0.172 0.000 0.343
S1 S 0.000 0.500 0.500
S2 S 0.163 0.000 0.833
# * electronic total energy: -75.8 eV/f.u.
# * V: 19.9 Å³/atom
# * raw formation energy: -1215 meV/atom